## DyCo2B (PBE)

Data for a relaxed structure of DyCo2B.

Structure (extended XYZ):
```
4
Lattice="1.815 1.048 4.845 -1.815 1.048 4.845 0.000 -2.096 4.845" Properties=species:S:1:pos:R:3 pbc="T T T"
Dy 0.000 0.000 0.000
Co 0.000 0.000 2.865
Co 0.000 0.000 11.669
B 0.000 0.000 7.267
```

Output
Calculated formation energy = -0.21 eV/atom
DFT total energy = -6.5832 eV per atom